Record 1
A geometry-optimized Cr2HgBRu structure. Source: the Alexandria database, functional PBE-GGA.

Properties
Total DFT energy (no corrections) = -0.2321 Ha/atom
Space-group type = P4/mmm (123)
ρ = 9851 kg/m3

Unit cell a=4.035 b=4.312 c=4.035 alpha=90.00 beta=90.00 gamma=90.00
Each line ends with the local moment (μB).
Fractional positions:
Ru  0.500  0.500  0.500  0.01
B  0.000  0.000  0.000  -0.08
Hg  0.000  0.500  0.000  0.01
Cr  0.000  0.000  0.500  2.27
Cr  0.500  0.000  0.000  1.61

***

Record 2
A geometry-optimized SrCrHg2B structure. Source: the Alexandria database, functional PBE-GGA.

Properties
Total DFT energy (no corrections) = -0.0906 Ha/atom
Space-group type = P4/mmm (123)
ρ = 5650 kg/m3

Unit cell a=5.172 b=6.060 c=5.172 alpha=90.00 beta=90.00 gamma=90.00
Each line ends with the local moment (μB).
Fractional positions:
Sr  0.000  0.500  0.000  0.06
B  0.500  0.500  0.500  0.09
Hg  0.000  0.000  0.500  0.07
Hg  0.500  0.000  0.000  0.07
Cr  0.000  0.000  0.000  3.79

***

Record 3
A geometry-optimized Cr2TcHgB structure. Source: the Alexandria database, functional PBE-GGA.

Properties
Total DFT energy (no corrections) = -0.2386 Ha/atom
Space-group type = P4/mmm (123)
ρ = 9537 kg/m3

Unit cell a=4.102 b=4.277 c=4.102 alpha=90.00 beta=90.00 gamma=90.00
Each line ends with the local moment (μB).
Fractional positions:
Cr  0.000  0.000  0.500  2.27
Cr  0.500  0.000  0.000  1.76
B  0.000  0.000  0.000  -0.16
Hg  0.000  0.500  0.000  -0.03
Tc  0.500  0.500  0.500  -1.92

***

Record 4
A geometry-optimized CrHg2BTe structure. Source: the Alexandria database, functional PBE-GGA.

Properties
Total DFT energy (no corrections) = -0.0954 Ha/atom
Space-group type = P4/mmm (123)
Formation energy from raw total energies = 1.4134 eV/atom
ρ = 6608 kg/m3

Unit cell a=5.871 b=4.313 c=5.871 alpha=90.00 beta=90.00 gamma=90.00
Each line ends with the local moment (μB).
Fractional positions:
Cr  0.500  0.500  0.500  -4.28
B  0.000  0.500  0.000  0.11
Te  0.000  0.000  0.000  -0.03
Hg  0.000  0.000  0.500  -0.02
Hg  0.500  0.000  0.000  0.01

***

Record 5
A geometry-optimized HoCrB2 structure. Source: the Alexandria database, functional PBE-GGA.

Properties
Total DFT energy (no corrections) = -0.2543 Ha/atom
Space-group type = R-3m (166)
ρ = 7686 kg/m3

Unit cell a=3.544 b=3.544 c=5.161 alpha=69.92 beta=69.92 gamma=60.00
Each line ends with the local moment (μB).
Fractional positions:
Cr  0.000  0.000  0.000  1.48
B  0.707  0.707  0.880  -0.03
B  0.293  0.293  0.120  -0.03
Ho  0.500  0.500  0.500  -0.04

***

Record 6
A geometry-optimized HoCrB14 structure. Source: the Alexandria database, functional PBE-GGA.

Properties
Total DFT energy (no corrections) = -0.2533 Ha/atom
Space-group type = Imma (74)
ρ = 4786 kg/m3

Unit cell a=5.848 b=7.334 c=7.334 alpha=67.86 beta=66.51 gamma=66.51
Each line ends with the local moment (μB).
Fractional positions:
Ho  0.250  0.378  0.122  0.00
Ho  0.750  0.622  0.878  0.00
Cr  0.500  0.000  0.500  2.15
Cr  0.000  0.000  0.500  2.15
B  0.667  0.364  0.301  0.01
B  0.333  0.636  0.699  0.01
B  0.167  0.801  0.864  0.01
B  0.833  0.199  0.136  0.01
B  0.129  0.241  0.501  0.01
B  0.871  0.759  0.499  0.01
B  0.629  0.001  0.741  0.01
B  0.371  0.999  0.259  0.01
B  0.084  0.087  0.745  0.00
B  0.916  0.913  0.255  0.00
B  0.584  0.245  0.587  0.00
B  0.416  0.755  0.413  0.00
B  0.724  0.598  0.275  0.02
B  0.596  0.402  0.725  0.02
B  0.224  0.775  0.098  0.02
B  0.096  0.225  0.902  0.02
B  0.276  0.402  0.725  0.02
B  0.404  0.598  0.275  0.02
B  0.776  0.225  0.902  0.02
B  0.904  0.775  0.098  0.02
B  0.327  0.970  0.873  0.00
B  0.170  0.030  0.127  0.00
B  0.827  0.373  0.470  0.00
B  0.670  0.627  0.530  0.00
B  0.673  0.030  0.127  0.00
B  0.830  0.970  0.873  0.00
B  0.173  0.627  0.530  0.00
B  0.330  0.373  0.470  0.00

***

Record 7
A geometry-optimized Cr2BI structure. Source: the Alexandria database, functional PBE-GGA.

Properties
Polymorph energy (0 for the lowest one) = 0.00 eV/f.u.
Total DFT energy (no corrections) = -0.2257 Ha/atom
Space-group type = I-42d (122)
Formation energy from raw total energies = 0.7267 eV/atom
ρ = 5089 kg/m3

Unit cell a=5.396 b=5.396 c=6.625 alpha=65.97 beta=65.97 gamma=90.00
Each line ends with the local moment (μB).
Fractional positions:
I  0.000  0.000  0.000  -0.07
I  0.750  0.250  0.500  -0.07
Cr  0.516  0.125  0.250  2.91
Cr  0.234  0.625  0.250  2.94
Cr  0.375  0.484  0.750  2.98
Cr  0.875  0.766  0.750  2.92
B  0.500  0.500  0.000  -0.29
B  0.250  0.750  0.500  -0.29

***

Record 8
A geometry-optimized CrB2I structure. Source: the Alexandria database, functional PBE-GGA.

Properties
Polymorph energy (0 for the lowest one) = 0.00 eV/f.u.
Total DFT energy (no corrections) = -0.1754 Ha/atom
Space-group type = I-42d (122)
Formation energy from raw total energies = 1.3583 eV/atom
ρ = 4864 kg/m3

Unit cell a=5.201 b=5.201 c=6.256 alpha=65.44 beta=65.44 gamma=90.00
Each line ends with the local moment (μB).
Fractional positions:
I  0.000  0.000  0.000  0.06
I  0.750  0.250  0.500  0.07
Cr  0.500  0.500  0.000  1.38
Cr  0.250  0.750  0.500  1.39
B  0.556  0.125  0.250  -0.08
B  0.194  0.625  0.250  -0.08
B  0.375  0.444  0.750  -0.08
B  0.875  0.806  0.750  -0.08

***

Record 9
A geometry-optimized CrB2I structure. Source: the Alexandria database, functional PBE-GGA.

Properties
Polymorph energy (0 for the lowest one) = 2.67 eV/f.u.
Total DFT energy (no corrections) = -0.1509 Ha/atom
Space-group type = Fm-3m (225)
Formation energy from raw total energies = 2.0268 eV/atom
ρ = 6247 kg/m3

Unit cell a=4.224 b=4.224 c=4.224 alpha=60.00 beta=60.00 gamma=60.00
Each line ends with the local moment (μB).
Fractional positions:
I  0.500  0.500  0.500  -0.04
Cr  0.000  0.000  0.000  2.31
B  0.250  0.250  0.250  -0.10
B  0.750  0.750  0.750  -0.10

***

Record 10
A geometry-optimized Cr2BI structure. Source: the Alexandria database, functional PBE-GGA.

Properties
Polymorph energy (0 for the lowest one) = 1.74 eV/f.u.
Total DFT energy (no corrections) = -0.2097 Ha/atom
Space-group type = Fm-3m (225)
Formation energy from raw total energies = 1.1617 eV/atom
ρ = 7660 kg/m3

Unit cell a=4.200 b=4.200 c=4.200 alpha=60.00 beta=60.00 gamma=60.00
Each line ends with the local moment (μB).
Fractional positions:
I  0.500  0.500  0.500  -0.07
Cr  0.250  0.250  0.250  1.14
Cr  0.750  0.750  0.750  1.14
B  0.000  0.000  0.000  -0.16

***

Record 11
A geometry-optimized CrB3I structure. Source: the Alexandria database, functional PBE-GGA.

Properties
Polymorph energy (0 for the lowest one) = 7.25 eV/f.u.
Total DFT energy (no corrections) = -0.1144 Ha/atom
Space-group type = Pm-3m (221)
Formation energy from raw total energies = 3.1278 eV/atom
ρ = 4312 kg/m3

Unit cell a=4.334 b=4.334 c=4.334 alpha=90.00 beta=90.00 gamma=90.00
Fractional positions:
I  0.000  0.000  0.000
Cr  0.500  0.500  0.500
B  0.000  0.500  0.000
B  0.000  0.000  0.500
B  0.500  0.000  0.000

***

Record 12
A geometry-optimized CrB3I structure. Source: the Alexandria database, functional PBE-GGA.

Properties
Polymorph energy (0 for the lowest one) = 0.00 eV/f.u.
Total DFT energy (no corrections) = -0.1677 Ha/atom
Space-group type = Pm-3m (221)
Formation energy from raw total energies = 1.6771 eV/atom
ρ = 4785 kg/m3

Unit cell a=4.186 b=4.186 c=4.186 alpha=90.00 beta=90.00 gamma=90.00
Each line ends with the local moment (μB).
Fractional positions:
I  0.500  0.500  0.500  0.28
Cr  0.000  0.000  0.000  1.76
B  0.000  0.500  0.000  -0.02
B  0.000  0.000  0.500  -0.01
B  0.500  0.000  0.000  -0.01

***

Record 13
A geometry-optimized Li2CrBI structure. Source: the Alexandria database, functional PBE-GGA.

Properties
Total DFT energy (no corrections) = -0.1146 Ha/atom
Space-group type = P4/mmm (123)
Formation energy from raw total energies = 1.2178 eV/atom
ρ = 2578 kg/m3

Unit cell a=4.926 b=5.405 c=4.926 alpha=90.00 beta=90.00 gamma=90.00
Each line ends with the local moment (μB).
Fractional positions:
I  0.000  0.000  0.000  0.01
Cr  0.500  0.500  0.500  4.18
B  0.000  0.500  0.000  -0.10
Li  0.000  0.000  0.500  0.00
Li  0.500  0.000  0.000  0.00

***

Record 14
A geometry-optimized Mn2CrBI structure. Source: the Alexandria database, functional PBE-GGA.

Properties
Total DFT energy (no corrections) = -0.2236 Ha/atom
Space-group type = P4/mmm (123)
Formation energy from raw total energies = 1.1542 eV/atom
ρ = 6443 kg/m3

Unit cell a=3.953 b=4.940 c=3.953 alpha=90.00 beta=90.00 gamma=90.00
Each line ends with the local moment (μB).
Fractional positions:
I  0.000  0.500  0.000  0.07
Cr  0.500  0.500  0.500  0.12
B  0.000  0.000  0.000  -0.19
Mn  0.000  0.000  0.500  3.09
Mn  0.500  0.000  0.000  2.82

***

Record 15
A geometry-optimized CrBI2N structure. Source: the Alexandria database, functional PBE-GGA.

Properties
Polymorph energy (0 for the lowest one) = 0.00 eV/f.u.
Total DFT energy (no corrections) = -0.1878 Ha/atom
Space-group type = P4/mmm (123)
Formation energy from raw total energies = 0.4342 eV/atom
ρ = 4755 kg/m3

Unit cell a=6.404 b=6.404 c=2.815 alpha=90.00 beta=90.00 gamma=90.00
Each line ends with the local moment (μB).
Fractional positions:
I  0.000  0.500  0.000  0.01
I  0.500  0.000  0.000  0.01
Cr  0.500  0.500  0.500  4.23
B  0.000  0.000  0.000  0.00
N  0.000  0.000  0.500  0.00

***

Record 16
A geometry-optimized CrBI2N structure. Source: the Alexandria database, functional PBE-GGA.

Properties
Polymorph energy (0 for the lowest one) = 2.71 eV/f.u.
Total DFT energy (no corrections) = -0.1679 Ha/atom
Space-group type = P4/mmm (123)
Formation energy from raw total energies = 0.9752 eV/atom
ρ = 4912 kg/m3

Unit cell a=5.548 b=5.548 c=3.631 alpha=90.00 beta=90.00 gamma=90.00
Each line ends with the local moment (μB).
Fractional positions:
I  0.000  0.500  0.000  -0.05
I  0.500  0.000  0.000  -0.05
Cr  0.000  0.000  0.000  2.34
B  0.500  0.500  0.500  0.06
N  0.000  0.000  0.500  -0.42

***

Record 17
A geometry-optimized NaCr2BI structure. Source: the Alexandria database, functional PBE-GGA.

Properties
Total DFT energy (no corrections) = -0.1424 Ha/atom
Space-group type = P4/mmm (123)
Formation energy from raw total energies = 1.8840 eV/atom
ρ = 3607 kg/m3

Unit cell a=5.205 b=4.499 c=5.205 alpha=90.00 beta=90.00 gamma=90.00
Each line ends with the local moment (μB).
Fractional positions:
I  0.500  0.500  0.500  -0.01
Cr  0.000  0.000  0.500  4.18
Cr  0.500  0.000  0.000  4.13
B  0.000  0.500  0.000  -0.28
Na  0.000  0.000  0.000  0.00